# 1
The following is a DFT calculation (PBE-GGA) of a geometry-optimized MgCrI2N structure.

Summary:
- space group = P4/mmm (123)
- V (Å³ per atom) = 23.63
- DFT total energy (eV per atom) = -4.528
- offset from the most stable computed form (meV/atom) = 0.0

Cell: 5.672 5.672 3.672 Å, 90.00 90.00 90.00°
Element x y z (fractional)
Mg 0.000 0.000 0.000
Cr 0.500 0.500 0.500
I 0.000 0.500 0.500
I 0.500 0.000 0.500
N 0.500 0.500 0.000

=====

# 2
The following is a DFT calculation (PBE-GGA) of a geometry-optimized MgCrIN2 structure.

Summary:
- space group = P4/mmm (123)
- V (Å³ per atom) = 18.95
- DFT total energy (eV per atom) = -4.094
- offset from the most stable computed form (meV/atom) = 1275.8

Cell: 4.062 4.062 5.741 Å, 90.00 90.00 90.00°
Element x y z (fractional)
Mg 0.000 0.000 0.000
Cr 0.500 0.500 0.500
I 0.000 0.000 0.500
N 0.000 0.500 0.000
N 0.500 0.000 0.000

=====

# 3
The following is a DFT calculation (PBE-GGA) of a geometry-optimized MgCrI2N structure.

Summary:
- space group = P4/mmm (123)
- V (Å³ per atom) = 27.29
- DFT total energy (eV per atom) = -4.008
- offset from the most stable computed form (meV/atom) = 520.4

Cell: 5.798 5.798 4.060 Å, 90.00 90.00 90.00°
Element x y z (fractional)
Mg 0.000 0.000 0.000
Cr 0.500 0.500 0.500
I 0.000 0.500 0.000
I 0.500 0.000 0.000
N 0.000 0.000 0.500

=====

# 4
The following is a DFT calculation (PBE-GGA) of a geometry-optimized NaMgCr2I structure.

Summary:
- space group = P4/mmm (123)
- V (Å³ per atom) = 33.11
- DFT total energy (eV per atom) = -3.795

Cell: 5.406 5.406 5.664 Å, 90.00 90.00 90.00°
Element x y z (fractional)
Na 0.000 0.000 0.000
Mg 0.500 0.500 0.000
Cr 0.000 0.500 0.500
Cr 0.500 0.000 0.500
I 0.000 0.000 0.500

=====

# 5
The following is a DFT calculation (PBE-GGA) of a geometry-optimized Rb2MgCrI6 structure.

Summary:
- space group = Fm-3m (225)
- V (Å³ per atom) = 39.36
- DFT total energy (eV per atom) = -3.173

Cell: 8.226 8.226 8.226 Å, 60.00 60.00 60.00°
Element x y z (fractional)
Rb 0.250 0.250 0.250
Rb 0.750 0.750 0.750
Mg 0.000 0.000 0.000
Cr 0.500 0.500 0.500
I 0.254 0.254 0.746
I 0.254 0.746 0.254
I 0.254 0.746 0.746
I 0.746 0.254 0.254
I 0.746 0.254 0.746
I 0.746 0.746 0.254

=====

# 6
The following is a DFT calculation (PBE-GGA) of a geometry-optimized RbMgCr2I8 structure.

Summary:
- space group = R-3 (148)
- V (Å³ per atom) = 41.35
- DFT total energy (eV per atom) = -3.421

Cell: 11.174 11.174 11.174 Å, 38.97 38.97 38.97°
Element x y z (fractional)
Rb 0.000 0.000 0.000
Mg 0.500 0.500 0.500
Cr 0.239 0.239 0.239
Cr 0.761 0.761 0.761
I 0.131 0.770 0.429
I 0.230 0.571 0.869
I 0.323 0.323 0.323
I 0.429 0.131 0.770
I 0.571 0.869 0.230
I 0.677 0.677 0.677
I 0.770 0.429 0.131
I 0.869 0.230 0.571

=====

# 7
The following is a DFT calculation (PBE-GGA) of a geometry-optimized MgCrSb2I structure.

Summary:
- space group = P4/mmm (123)
- V (Å³ per atom) = 30.06
- DFT total energy (eV per atom) = -3.872
- offset from the most stable computed form (meV/atom) = 0.0

Cell: 5.042 5.042 5.914 Å, 90.00 90.00 90.00°
Element x y z (fractional)
Mg 0.000 0.000 0.000
Cr 0.500 0.500 0.500
Sb 0.000 0.500 0.500
Sb 0.500 0.000 0.500
I 0.500 0.500 0.000

=====

# 8
The following is a DFT calculation (PBE-GGA) of a geometry-optimized MgCrSbI2 structure.

Summary:
- space group = P4/mmm (123)
- V (Å³ per atom) = 32.71
- DFT total energy (eV per atom) = -3.486
- offset from the most stable computed form (meV/atom) = 0.0

Cell: 5.511 5.511 5.386 Å, 90.00 90.00 90.00°
Element x y z (fractional)
Mg 0.000 0.000 0.000
Cr 0.500 0.500 0.500
Sb 0.500 0.500 0.000
I 0.000 0.500 0.500
I 0.500 0.000 0.500

=====

# 9
The following is a DFT calculation (PBE-GGA) of a geometry-optimized MgCrSb2I structure.

Summary:
- space group = P4/mmm (123)
- V (Å³ per atom) = 33.15
- DFT total energy (eV per atom) = -3.480
- offset from the most stable computed form (meV/atom) = 391.4

Cell: 5.401 5.401 5.683 Å, 90.00 90.00 90.00°
Element x y z (fractional)
Mg 0.000 0.000 0.000
Cr 0.500 0.500 0.500
Sb 0.000 0.500 0.000
Sb 0.500 0.000 0.000
I 0.000 0.000 0.500

=====

# 10
The following is a DFT calculation (PBE-GGA) of a geometry-optimized Mg2CrSnI structure.

Summary:
- space group = P4/mmm (123)
- V (Å³ per atom) = 30.99
- DFT total energy (eV per atom) = -3.281

Cell: 5.484 5.484 5.152 Å, 90.00 90.00 90.00°
Element x y z (fractional)
Mg 0.000 0.500 0.000
Mg 0.500 0.000 0.000
Cr 0.000 0.000 0.000
Sn 0.000 0.000 0.500
I 0.500 0.500 0.500

=====

# 11
The following is a DFT calculation (PBE-GGA) of a geometry-optimized MgCrTe2I structure.

Summary:
- space group = P4/mmm (123)
- V (Å³ per atom) = 31.07
- DFT total energy (eV per atom) = -3.684
- offset from the most stable computed form (meV/atom) = 0.0

Cell: 5.332 5.332 5.464 Å, 90.00 90.00 90.00°
Element x y z (fractional)
Mg 0.000 0.000 0.000
Cr 0.500 0.500 0.500
Te 0.000 0.500 0.500
Te 0.500 0.000 0.500
I 0.500 0.500 0.000

=====

# 12
The following is a DFT calculation (PBE-GGA) of a geometry-optimized MgVCrI2 structure.

Summary:
- space group = P4/mmm (123)
- V (Å³ per atom) = 35.54
- DFT total energy (eV per atom) = -3.633

Cell: 5.648 5.648 5.571 Å, 90.00 90.00 90.00°
Element x y z (fractional)
Mg 0.000 0.000 0.000
V 0.000 0.000 0.500
Cr 0.500 0.500 0.500
I 0.000 0.500 0.000
I 0.500 0.000 0.000

=====

Question: The lowest DFT total energy belongs to which entry?
Answer: number 1

=====

Question: The highest DFT total energy belongs to which entry?
Answer: Rb2MgCrI6

=====

Repeat the seventh record exactly.
The following is a DFT calculation (PBE-GGA) of a geometry-optimized MgCrSb2I structure.

Summary:
- space group = P4/mmm (123)
- V (Å³ per atom) = 30.06
- DFT total energy (eV per atom) = -3.872
- offset from the most stable computed form (meV/atom) = 0.0

Cell: 5.042 5.042 5.914 Å, 90.00 90.00 90.00°
Element x y z (fractional)
Mg 0.000 0.000 0.000
Cr 0.500 0.500 0.500
Sb 0.000 0.500 0.500
Sb 0.500 0.000 0.500
I 0.500 0.500 0.000

=====

Question: Look up the DFT total energy of the sixth one.
Answer: -3.421 eV per atom